{"formula": "Na3La2HfS6", "functional": "PBE-GGA", "state": "relaxed", "e_form_raw_mev_per_atom": -1684, "density_g_cm3": 4.2, "dos_at_fermi_per_ev_cell": 4.3, "lattice": [[-1.218, 1.505, 6.720], [1.084, -6.624, -1.962], [6.629, 2.500, -0.583]], "species": ["Na", "Na", "Na", "La", "La", "Hf", "S", "S", "S", "S", "S", "S"], "frac_coords": [[0.165, 0.835, 0.500], [0.835, 0.165, 0.500], [0.500, 0.500, 0.500], [0.333, 0.667, 0.000], [0.667, 0.333, 0.000], [0.000, 0.000, 0.000], [0.922, 0.619, 0.769], [0.773, 0.773, 0.226], [0.078, 0.381, 0.231], [0.619, 0.922, 0.769], [0.227, 0.227, 0.774], [0.381, 0.078, 0.231]]}